Record 1
Compound: CeErBiSb
Source: Alexandria via LeMat-Bulk
Functional: GGA-PBE
Structure: optimized geometry

## Properties
total magnetization = 2.5 Bohr magnetons per cell
DOS at the Fermi energy = 1.71 states/eV per atom
density = 8.36 g/cm³
raw formation energy = -0.94 eV per atom

The structure in CIF format:
```
data_CeErBiSb
_symmetry_space_group_name_H-M 'R 3 m'
_symmetry_Int_Tables_number 160
_symmetry_space_group_name_Hall 'R 3 -2"'
_cell_length_a 4.4766
_cell_length_b 4.4766
_cell_length_c 21.9104
_cell_angle_alpha 90.00
_cell_angle_beta 90.00
_cell_angle_gamma 120.00
loop_
_atom_site_label
_atom_site_fract_x
_atom_site_fract_y
_atom_site_fract_z
Ce1 0.0000 0.0000 0.0000
Er1 0.0000 0.0000 0.5042
Bi1 0.0000 0.0000 0.7549
Sb1 0.0000 0.0000 0.2489
```

---

Record 2
Compound: MgFeRe
Source: Alexandria via LeMat-Bulk
Functional: GGA-PBE
Structure: optimized geometry

## Properties
total magnetization = 2.1 Bohr magnetons per cell
DOS at the Fermi energy = 0.64 states/eV per atom
calculated total energy = -43.90 eV per cell
density = 10.09 g/cm³

The structure in CIF format:
```
data_MgFeRe
_symmetry_space_group_name_H-M 'I 4 m m'
_symmetry_Int_Tables_number 107
_symmetry_space_group_name_Hall 'I 4 -2'
_cell_length_a 2.879
_cell_length_b 2.879
_cell_length_c 10.583
_cell_angle_alpha 90.00
_cell_angle_beta 90.00
_cell_angle_gamma 90.00
loop_
_atom_site_label
_atom_site_fract_x
_atom_site_fract_y
_atom_site_fract_z
Mg1 0.000 0.000 0.000
Fe1 0.000 0.000 0.324
Re1 0.000 0.000 0.695
```